1.
The following is a GGA-PBE calculation of an optimized crystal structure of MgSnSe2N, from Alexandria via LeMat-Bulk.

a = 5.2615 Å, b = 5.2615 Å, c = 4.0502 Å
α = 90.00°, β = 90.00°, γ = 90.00°
Site moments in Bohr magnetons follow the coordinates.
Fractional positions:
Mg 0.0000 0.0000 0.0000  -0.01
Sn 0.5000 0.5000 0.5000  0.00
Se 0.0000 0.5000 0.0000  0.17
Se 0.5000 0.0000 0.0000  0.17
N 0.0000 0.0000 0.5000  1.21

- Total energy: -19.05 eV per cell
- E above lowest polymorph: 0.0 kJ/mol of atoms
- Space group: P4/mmm (123)
- Raw formation energy: 0.37 eV/atom

=====

2.
The following is a GGA-PBE calculation of an optimized crystal structure of MgSnSe2N, from Alexandria via LeMat-Bulk.

a = 5.3733 Å, b = 5.3733 Å, c = 4.0352 Å
α = 90.00°, β = 90.00°, γ = 90.00°
Site moments in Bohr magnetons follow the coordinates.
Fractional positions:
Mg 0.5000 0.5000 0.5000  0.00
Sn 0.0000 0.0000 0.0000  -0.04
Se 0.0000 0.5000 0.0000  0.10
Se 0.5000 0.0000 0.0000  0.10
N 0.0000 0.0000 0.5000  0.65

- Total energy: -18.88 eV per cell
- E above lowest polymorph: 3.2 kJ/mol of atoms
- Space group: P4/mmm (123)
- Raw formation energy: 0.40 eV/atom

=====

3.
The following is a GGA-PBE calculation of an optimized crystal structure of SrMgSeN2, from Alexandria via LeMat-Bulk.

a = 4.7194 Å, b = 4.7194 Å, c = 6.1411 Å
α = 90.00°, β = 90.00°, γ = 90.00°
Site moments in Bohr magnetons follow the coordinates.
Fractional positions:
Sr 0.0000 0.0000 0.0000  0.07
Mg 0.5000 0.5000 0.5000  -0.03
Se 0.0000 0.0000 0.5000  0.10
N 0.0000 0.5000 0.0000  1.32
N 0.5000 0.0000 0.0000  1.32

- Total energy: -18.06 eV per cell
- E above lowest polymorph: 78.2 kJ/mol of atoms
- Space group: P4/mmm (123)
- Raw formation energy: 1.07 eV/atom

=====

Copy entry 2 word for word.
The following is a GGA-PBE calculation of an optimized crystal structure of MgSnSe2N, from Alexandria via LeMat-Bulk.

a = 5.3733 Å, b = 5.3733 Å, c = 4.0352 Å
α = 90.00°, β = 90.00°, γ = 90.00°
Site moments in Bohr magnetons follow the coordinates.
Fractional positions:
Mg 0.5000 0.5000 0.5000  0.00
Sn 0.0000 0.0000 0.0000  -0.04
Se 0.0000 0.5000 0.0000  0.10
Se 0.5000 0.0000 0.0000  0.10
N 0.0000 0.0000 0.5000  0.65

- Total energy: -18.88 eV per cell
- E above lowest polymorph: 3.2 kJ/mol of atoms
- Space group: P4/mmm (123)
- Raw formation energy: 0.40 eV/atom

=====

> Which of these has the lowest total energy?

number 1

=====

> Which value of raw formation energy does entry 3 give?

1.07 eV/atom

=====

> Number 2 is which compound?

MgSnSe2N